A plane-wave DFT calculation with PBE-GGA was carried out for an optimized crystal structure of Sr2AcThBi4.

Results
Theoretical density   7.80 Mg/m³
Formation energy from the elements   -800 meV/atom
DOS at the Fermi energy   0.88 states/eV per atom

abc: 4.791 8.325 8.322
angles: 70.60 90.00 90.00
Atoms (fractional coordinates):
Sr 0.000 0.000 0.000
Sr 0.500 0.000 0.500
Ac 0.000 0.500 0.500
Th 0.500 0.500 0.000
Bi 0.000 0.735 0.766
Bi 0.000 0.265 0.234
Bi 0.500 0.742 0.241
Bi 0.500 0.258 0.759

A plane-wave DFT calculation with PBE-GGA was carried out for an optimized crystal structure of Ba2LiHgH.

Results
Relative energy among the computed polymorphs   157 meV per atom
Theoretical density   5.26 Mg/m³
DOS at the Fermi energy   0.88 states/eV per atom

abc: 5.576 5.576 4.910
angles: 90.00 90.00 90.00
Atoms (fractional coordinates):
H 0.000 0.000 0.000
Li 0.500 0.500 0.500
Hg 0.000 0.000 0.500
Ba 0.000 0.500 0.000
Ba 0.500 0.000 0.000

A plane-wave DFT calculation with PBE-GGA was carried out for an optimized crystal structure of PmSm12Er7.

Results
Relative energy among the computed polymorphs   0 meV per atom
Theoretical density   7.87 Mg/m³
Formation energy from the elements   104 meV/atom
DOS at the Fermi energy   1.90 states/eV per atom

abc: 8.800 8.800 8.800
angles: 98.21 98.21 98.21
Each line ends with the local moment (μB).
Atoms (fractional coordinates):
Pm 0.000 0.000 0.000  0.16
Sm 0.762 0.238 0.500  0.02
Sm 0.762 0.500 0.238  0.02
Sm 0.359 0.091 0.359  0.01
Sm 0.909 0.641 0.641  0.01
Sm 0.500 0.238 0.762  0.02
Sm 0.641 0.641 0.909  0.01
Sm 0.359 0.359 0.091  0.01
Sm 0.500 0.762 0.238  0.02
Sm 0.091 0.359 0.359  0.01
Sm 0.641 0.909 0.641  0.01
Sm 0.238 0.500 0.762  0.02
Sm 0.238 0.762 0.500  0.02
Er 0.098 0.660 0.098  0.08
Er 0.340 0.902 0.902  0.08
Er 0.902 0.902 0.340  0.08
Er 0.500 0.500 0.500  0.02
Er 0.098 0.098 0.660  0.08
Er 0.660 0.098 0.098  0.08
Er 0.902 0.340 0.902  0.08